This record from Alexandria describes Li3Pb after structural relaxation. The functional is PBE.

abc: 9.1477 9.1477 3.3785
angles: 90.00 90.00 120.00
Space group R-3m (No. 166, hexagonal axes)
One atom of each set of equivalent atoms:
1 Li 0.0000 0.5000 0.0000
2 Pb 0.0000 0.0000 0.0000

Calculated values
* distance to the lowest polymorph of the same formula: 0.102 eV/atom
* VASP energy: -2.581 eV/atom
* N(E_F): 1.93 states/eV/cell
* energy of formation from the pure elements: -21 kJ per mole of atoms

---

This record from Alexandria describes Li2Pb3 after structural relaxation. The functional is PBE.

abc: 3.3809 3.3809 39.2721
angles: 90.00 90.00 120.00
Space group R-3m (No. 166, hexagonal axes)
One atom of each set of equivalent atoms:
1 Li 0.0000 0.0000 0.1052
2 Pb 0.0000 0.0000 0.2918
3 Pb 0.0000 0.0000 0.5000

Calculated values
* distance to the lowest polymorph of the same formula: 0.053 eV/atom
* VASP energy: -3.126 eV/atom
* N(E_F): 5.08 states/eV/cell
* energy of formation from the pure elements: -13 kJ per mole of atoms

---

This record from Alexandria describes Li13Pb2 after structural relaxation. The functional is PBE.

abc: 7.8909 7.8909 20.3404
angles: 90.00 90.00 120.00
Space group R-3m (No. 166, hexagonal axes)
One atom of each set of equivalent atoms:
1 Li 0.0000 0.0000 0.0000
2 Li 0.0811 0.5405 0.3091
3 Li 0.0924 0.5462 0.5544
4 Pb 0.0000 0.0000 0.2418

Calculated values
* VASP energy: -2.112 eV/atom
* N(E_F): 22.51 states/eV/cell
* energy of formation from the pure elements: 4 kJ per mole of atoms

---

This record from Alexandria describes Li3Pb13 after structural relaxation. The functional is PBE.

abc: 9.6821 9.6373 9.9909
angles: 90.00 90.00 90.00
Space group Amm2 (No. 38)
One atom of each set of equivalent atoms:
1 Li 0.0000 0.0000 0.0000
2 Li 0.2548 0.0000 0.2585
3 Pb 0.0000 0.0000 0.5002
4 Pb 0.0000 0.2278 0.2486
5 Pb 0.2354 0.0000 0.7578
6 Pb 0.2433 0.2431 0.0093
7 Pb 0.5000 0.0000 0.0110
8 Pb 0.5000 0.0000 0.5082
9 Pb 0.5000 0.2484 0.2546

Calculated values
* VASP energy: -3.441 eV/atom
* N(E_F): 16.97 states/eV/cell
* energy of formation from the pure elements: -7 kJ per mole of atoms

---

This record from Alexandria describes Li3Pb2 after structural relaxation. The functional is PBE.

abc: 3.3583 3.3583 36.1017
angles: 90.00 90.00 120.00
Space group R-3m (No. 166, hexagonal axes)
One atom of each set of equivalent atoms:
1 Li 0.0000 0.0000 0.0000
2 Li 0.0000 0.0000 0.2007
3 Pb 0.0000 0.0000 0.4003

Calculated values
* distance to the lowest polymorph of the same formula: 0.099 eV/atom
* VASP energy: -2.801 eV/atom
* N(E_F): 5.77 states/eV/cell
* energy of formation from the pure elements: -16 kJ per mole of atoms

---

This record from Alexandria describes Li3Pb after structural relaxation. The functional is PBE.

abc: 7.8202 8.3447 4.8361
angles: 90.00 90.00 90.00
Space group Cmcm (No. 63)
One atom of each set of equivalent atoms:
1 Li 0.0000 0.0918 0.2500
2 Li 0.1825 0.3938 0.2500
3 Pb 0.0000 0.2843 0.7500

Calculated values
* distance to the lowest polymorph of the same formula: 0.064 eV/atom
* VASP energy: -2.618 eV/atom
* N(E_F): 5.94 states/eV/cell
* energy of formation from the pure elements: -25 kJ per mole of atoms

---

This record from Alexandria describes Li5Pb2 after structural relaxation. The functional is PBE.

abc: 8.2431 12.0637 5.6990
angles: 90.00 90.00 90.00
Space group Ibam (No. 72)
One atom of each set of equivalent atoms:
1 Li 0.0000 0.0000 0.2500
2 Li 0.0000 0.2274 0.2500
3 Li 0.1348 0.4077 0.0000
4 Pb 0.2360 0.3603 0.5000

Calculated values
* VASP energy: -2.673 eV/atom
* N(E_F): 8.40 states/eV/cell
* energy of formation from the pure elements: -24 kJ per mole of atoms

---

This record from Alexandria describes Li4Pb5 after structural relaxation. The functional is PBE.

abc: 8.9517 8.9517 6.2822
angles: 90.00 90.00 120.00
Space group P6_3/mcm (No. 193)
One atom of each set of equivalent atoms:
1 Li 0.0000 0.0000 0.0000
2 Li 0.0000 0.3789 0.2500
3 Pb 0.0000 0.2808 0.7500
4 Pb 0.3333 0.6667 0.0000

Calculated values
* distance to the lowest polymorph of the same formula: 0.017 eV/atom
* VASP energy: -3.087 eV/atom
* N(E_F): 6.53 states/eV/cell
* energy of formation from the pure elements: -17 kJ per mole of atoms